The following is a GGA+U calculation of an optimized crystal structure of TbCoO3, from Alexandria.

Summary:
Total DFT energy (no corrections) (eV/atom): -7.18
DOS(E_F) (states/eV/cell): 2.3

Lattice parameters (Å, degrees): 5.758 7.416 5.218 90.00 90.00 90.00
Fractional positions:
1 Tb 0.080 0.250 0.022
2 Tb 0.420 0.750 0.522
3 Tb 0.580 0.250 0.478
4 Tb 0.920 0.750 0.978
5 Co 0.000 0.000 0.500
6 Co 0.000 0.500 0.500
7 Co 0.500 0.000 0.000
8 Co 0.500 0.500 0.000
9 O 0.030 0.750 0.397
10 O 0.185 0.551 0.799
11 O 0.185 0.949 0.799
12 O 0.315 0.051 0.299
13 O 0.315 0.449 0.299
14 O 0.470 0.250 0.897
15 O 0.530 0.750 0.103
16 O 0.685 0.551 0.701
17 O 0.685 0.949 0.701
18 O 0.815 0.051 0.201
19 O 0.815 0.449 0.201
20 O 0.970 0.250 0.603

The following is a GGA+U calculation of an optimized crystal structure of TaMoP2O, from Alexandria.

Summary:
DOS(E_F) (states/eV/cell): 3.2
Polymorph energy (0 for the lowest one) (meV per atom): 629

Lattice parameters (Å, degrees): 4.865 4.865 3.682 90.00 90.00 90.00
Fractional positions:
1 Ta 0.000 0.000 0.000
2 Mo 0.500 0.500 0.500
3 P 0.000 0.500 0.500
4 P 0.500 0.000 0.500
5 O 0.500 0.500 0.000

| no. | spin magnetization (μB per formula unit) |
| --- | --- |
| 1 | 2.0 |
| 2 | 2.5 |